Material: CaIn2HgN
Method: DFT, PBE
State: optimized geometry

## Properties
Formation energy without anion corrections: 1.7 eV/f.u.
DOS(E_F): 2.8 states/eV/cell
Space-group type: P4/mmm, No. 123
Excess energy over the best structure of this formula in the dataset: 0.0 meV per atom

```
CaIn2HgN
1.0
4.5685 0.0000 0.0000
0.0000 4.5685 0.0000
0.0000 0.0000 6.1215
Ca In Hg N
1 2 1 1
Cartesian
0.0000 0.0000 0.0000
0.0000 2.2843 3.0608
2.2843 0.0000 3.0608
2.2843 2.2843 0.0000
2.2843 2.2843 3.0608
```



Material: CaIn2HgN
Method: DFT, PBE
State: optimized geometry

## Properties
Formation energy without anion corrections: 3.6 eV/f.u.
DOS(E_F): 3.4 states/eV/cell
Space-group type: P4/mmm, No. 123
Excess energy over the best structure of this formula in the dataset: 378.6 meV per atom

```
CaIn2HgN
1.0
5.9561 0.0000 0.0000
0.0000 5.9561 0.0000
0.0000 0.0000 4.0004
Ca In Hg N
1 2 1 1
Cartesian
0.0000 0.0000 0.0000
0.0000 2.9781 2.0002
2.9781 0.0000 2.0002
2.9781 2.9781 2.0002
2.9781 2.9781 0.0000
```



Material: Ca2InHgN
Method: DFT, PBE
State: optimized geometry

## Properties
Formation energy without anion corrections: -2.3 eV/f.u.
DOS(E_F): 2.8 states/eV/cell
Space-group type: P4/mmm, No. 123

```
Ca2InHgN
1.0
4.9012 0.0000 0.0000
0.0000 4.9012 0.0000
0.0000 0.0000 4.6565
Ca In Hg N
2 1 1 1
Cartesian
0.0000 2.4506 0.0000
2.4506 0.0000 0.0000
0.0000 0.0000 2.3282
2.4506 2.4506 2.3282
0.0000 0.0000 0.0000
```



Material: NaCa2InHg4
Method: DFT, PBE
State: optimized geometry

## Properties
Formation energy from the elements: -0.3882 eV per atom
DOS(E_F): 4.3 states/eV/cell
Space-group type: R-3m, No. 166

```
NaCa2InHg4
1.0
2.6097 1.5067 8.7171
-2.6097 1.5067 8.7171
0.0000 -3.0134 8.7171
Na Ca In Hg
1 2 1 4
Cartesian
0.0000 0.0000 0.0000
0.0000 0.0000 6.4049
0.0000 0.0000 19.7464
0.0000 0.0000 13.0757
0.0000 0.0000 3.1527
0.0000 0.0000 9.7267
0.0000 0.0000 16.4246
0.0000 0.0000 22.9986
```



Material: NaCa4In2Hg
Method: DFT, PBE
State: optimized geometry

## Properties
Formation energy from the elements: -0.3893 eV per atom
DOS(E_F): 7.5 states/eV/cell
Space-group type: R-3m, No. 166

```
NaCa4In2Hg
1.0
2.7559 1.5911 9.0398
-2.7559 1.5911 9.0398
0.0000 -3.1822 9.0398
Na Ca In Hg
1 4 2 1
Cartesian
0.0000 0.0000 0.0000
0.0000 0.0000 3.5366
0.0000 0.0000 10.3386
0.0000 0.0000 16.7807
0.0000 0.0000 23.5828
0.0000 0.0000 6.9180
0.0000 0.0000 20.2014
0.0000 0.0000 13.5597
```



Material: CaNdInHg
Method: DFT, PBE
State: optimized geometry

## Properties
Formation energy from the elements: -0.5208 eV per atom
DOS(E_F): 7.4 states/eV/cell
Space-group type: F-43m, No. 216

```
CaNdInHg
1.0
7.6907 0.0000 0.0000
0.0000 7.6907 0.0000
0.0000 0.0000 7.6907
Ca Nd In Hg
4 4 4 4
Cartesian
0.0000 0.0000 0.0000
0.0000 3.8454 3.8454
3.8454 0.0000 3.8454
3.8454 3.8454 0.0000
0.0000 0.0000 3.8454
0.0000 3.8454 0.0000
3.8454 0.0000 0.0000
3.8454 3.8454 3.8454
1.9227 1.9227 5.7680
1.9227 5.7680 1.9227
5.7680 1.9227 1.9227
5.7680 5.7680 5.7680
1.9227 1.9227 1.9227
1.9227 5.7680 5.7680
5.7680 1.9227 5.7680
5.7680 5.7680 1.9227
```



Material: CaInNiHg2
Method: DFT, PBE
State: optimized geometry

## Properties
Formation energy from the elements: -0.1619 eV per atom
DOS(E_F): 2.2 states/eV/cell
Space-group type: P4/mmm, No. 123

```
CaInNiHg2
1.0
5.0566 0.0000 0.0000
0.0000 5.0566 0.0000
0.0000 0.0000 4.8882
Ca In Ni Hg
1 1 1 2
Cartesian
0.0000 0.0000 0.0000
2.5283 2.5283 0.0000
2.5283 2.5283 2.4441
0.0000 2.5283 2.4441
2.5283 0.0000 2.4441
```



Material: CaIn2NiHg
Method: DFT, PBE
State: optimized geometry

## Properties
Formation energy from the elements: -0.2169 eV per atom
DOS(E_F): 2.4 states/eV/cell
Space-group type: P4/mmm, No. 123
Excess energy over the best structure of this formula in the dataset: 0.0 meV per atom

```
CaIn2NiHg
1.0
4.9480 0.0000 0.0000
0.0000 4.9480 0.0000
0.0000 0.0000 5.3958
Ca In Ni Hg
1 2 1 1
Cartesian
0.0000 0.0000 0.0000
0.0000 2.4740 2.6979
2.4740 0.0000 2.6979
0.0000 0.0000 2.6979
2.4740 2.4740 0.0000
```



Material: CaIn2NiHg
Method: DFT, PBE
State: optimized geometry

## Properties
Formation energy from the elements: -0.1797 eV per atom
DOS(E_F): 3.1 states/eV/cell
Space-group type: P4/mmm, No. 123
Excess energy over the best structure of this formula in the dataset: 37.3 meV per atom

```
CaIn2NiHg
1.0
4.9505 0.0000 0.0000
0.0000 4.9505 0.0000
0.0000 0.0000 5.0960
Ca In Ni Hg
1 2 1 1
Cartesian
0.0000 0.0000 0.0000
0.0000 2.4753 2.5480
2.4753 0.0000 2.5480
2.4753 2.4753 2.5480
2.4753 2.4753 0.0000
```



Material: CaInHgO2
Method: DFT, PBE
State: optimized geometry

## Properties
Formation energy without anion corrections: -0.1 eV/f.u.
DOS(E_F): 3.1 states/eV/cell
Space-group type: P4/mmm, No. 123

```
CaInHgO2
1.0
4.5381 0.0000 0.0000
0.0000 4.5381 0.0000
0.0000 0.0000 5.2605
Ca In Hg O
1 1 1 2
Cartesian
0.0000 0.0000 0.0000
2.2691 2.2691 0.0000
2.2691 2.2691 2.6302
0.0000 2.2691 2.6302
2.2691 0.0000 2.6302
```



Material: Ca2InHgP
Method: DFT, PBE
State: optimized geometry

## Properties
Formation energy from the elements: -0.3935 eV per atom
DOS(E_F): 3.4 states/eV/cell
Space-group type: P4/mmm, No. 123

```
Ca2InHgP
1.0
5.4435 0.0000 0.0000
0.0000 5.4435 0.0000
0.0000 0.0000 5.1215
Ca In Hg P
2 1 1 1
Cartesian
0.0000 2.7218 0.0000
2.7218 0.0000 0.0000
0.0000 0.0000 2.5608
2.7218 2.7218 2.5608
0.0000 0.0000 0.0000
```



Material: CaPaInHg
Method: DFT, PBE
State: optimized geometry

## Properties
Formation energy from the elements: -0.0510 eV per atom
DOS(E_F): 23.3 states/eV/cell
Space-group type: F-43m, No. 216

```
CaPaInHg
1.0
7.5738 0.0000 0.0000
0.0000 7.5738 0.0000
0.0000 0.0000 7.5738
Ca Pa In Hg
4 4 4 4
Cartesian
0.0000 0.0000 0.0000
0.0000 3.7869 3.7869
3.7869 0.0000 3.7869
3.7869 3.7869 0.0000
0.0000 0.0000 3.7869
0.0000 3.7869 0.0000
3.7869 0.0000 0.0000
3.7869 3.7869 3.7869
1.8935 1.8935 5.6804
1.8935 5.6804 1.8935
5.6804 1.8935 1.8935
5.6804 5.6804 5.6804
1.8935 1.8935 1.8935
1.8935 5.6804 5.6804
5.6804 1.8935 5.6804
5.6804 5.6804 1.8935
```



Material: CaInHg4Pb
Method: DFT, PBE
State: optimized geometry

## Properties
Formation energy from the elements: -0.0395 eV per atom
DOS(E_F): 4.4 states/eV/cell
Space-group type: Cmcm, No. 63

```
CaInHg4Pb
1.0
3.0191 -7.7830 0.0000
3.0191 7.7830 0.0000
0.0000 0.0000 10.2441
Ca In Hg Pb
2 2 8 2
Cartesian
3.0191 5.5819 7.6830
3.0191 -5.5819 2.5610
3.0191 3.7521 2.5610
3.0191 -3.7521 7.6830
1.5095 3.8915 0.0000
1.5095 3.8915 5.1220
3.0191 6.8769 2.5610
3.0191 0.7632 2.5610
1.5095 -3.8915 0.0000
1.5095 -3.8915 5.1220
3.0191 -0.7632 7.6830
3.0191 -6.8769 7.6830
3.0191 2.2452 7.6830
3.0191 -2.2452 2.5610
```



Material: Ca2InHg4Pb2
Method: DFT, PBE
State: optimized geometry

## Properties
Formation energy from the elements: -0.1223 eV per atom
DOS(E_F): 5.3 states/eV/cell
Space-group type: I4/mmm, No. 139

```
Ca2InHg4Pb2
1.0
-3.5353 3.5353 5.2899
3.5353 -3.5353 5.2899
3.5353 3.5353 -5.2899
Ca In Hg Pb
2 1 4 2
Cartesian
0.0000 0.0000 2.2313
0.0000 0.0000 8.3485
0.0000 0.0000 5.2899
1.5507 1.5507 0.0000
1.9846 -1.9846 5.2899
-1.9846 1.9846 5.2899
1.9846 1.9846 5.2899
3.5353 0.0000 2.6450
0.0000 3.5353 2.6450
```



Material: Ca2InHg5Pb
Method: DFT, PBE
State: optimized geometry

## Properties
Formation energy from the elements: -0.1622 eV per atom
DOS(E_F): 6.9 states/eV/cell
Space-group type: I4/mcm, No. 140

```
Ca2InHg5Pb
1.0
-4.5833 4.5833 6.2354
4.5833 -4.5833 6.2354
4.5833 4.5833 -6.2354
Ca In Hg Pb
4 2 10 2
Cartesian
5.7354 1.1521 0.0000
1.1521 3.4313 0.0000
3.4313 1.1521 6.2354
-1.1521 3.4313 6.2354
4.5833 0.0000 3.1177
0.0000 4.5833 3.1177
0.0000 0.0000 0.0000
2.8449 1.7385 -1.7635
2.8449 -1.7385 4.4718
2.8449 1.7385 1.7635
2.8449 -1.7385 7.9989
0.0000 0.0000 6.2354
1.7385 6.3218 -1.7635
1.7385 2.8449 4.4718
1.7385 6.3218 1.7635
1.7385 2.8449 7.9989
0.0000 0.0000 3.1177
0.0000 0.0000 9.3531
```



Material: Ca2In2HgPd5
Method: DFT, PBE
State: optimized geometry

## Properties
Formation energy from the elements: -0.5045 eV per atom
DOS(E_F): 4.8 states/eV/cell
Space-group type: P4/mbm, No. 127

```
Ca2In2HgPd5
1.0
10.3174 0.0000 0.0000
0.0000 10.3174 0.0000
0.0000 0.0000 3.8327
Ca In Hg Pd
4 4 2 10
Cartesian
1.7800 3.3787 0.0000
3.3787 8.5374 0.0000
6.9387 1.7800 0.0000
8.5374 6.9387 0.0000
1.3080 6.4667 0.0000
3.8507 1.3080 0.0000
6.4667 9.0094 0.0000
9.0094 3.8507 0.0000
0.0000 0.0000 0.0000
5.1587 5.1587 0.0000
0.0000 5.1587 1.9163
0.6476 8.2837 1.9163
2.0337 0.6476 1.9163
3.1250 5.8063 1.9163
4.5111 3.1250 1.9163
5.1587 0.0000 1.9163
5.8063 7.1924 1.9163
7.1924 4.5111 1.9163
8.2837 9.6698 1.9163
9.6698 2.0337 1.9163
```



Material: CaPmInHg
Method: DFT, PBE
State: optimized geometry

## Properties
Formation energy from the elements: -0.5192 eV per atom
DOS(E_F): 7.0 states/eV/cell
Space-group type: F-43m, No. 216

```
CaPmInHg
1.0
7.6599 0.0000 0.0000
0.0000 7.6599 0.0000
0.0000 0.0000 7.6599
Ca Pm In Hg
4 4 4 4
Cartesian
0.0000 0.0000 0.0000
0.0000 3.8299 3.8299
3.8299 0.0000 3.8299
3.8299 3.8299 0.0000
0.0000 0.0000 3.8299
0.0000 3.8299 0.0000
3.8299 0.0000 0.0000
3.8299 3.8299 3.8299
1.9150 1.9150 5.7449
1.9150 5.7449 1.9150
5.7449 1.9150 1.9150
5.7449 5.7449 5.7449
1.9150 1.9150 1.9150
1.9150 5.7449 5.7449
5.7449 1.9150 5.7449
5.7449 5.7449 1.9150
```



Material: CaPrInHg
Method: DFT, PBE
State: optimized geometry

## Properties
Formation energy from the elements: -0.5227 eV per atom
DOS(E_F): 7.8 states/eV/cell
Space-group type: F-43m, No. 216

```
CaPrInHg
1.0
7.7233 0.0000 0.0000
0.0000 7.7233 0.0000
0.0000 0.0000 7.7233
Ca Pr In Hg
4 4 4 4
Cartesian
0.0000 0.0000 0.0000
0.0000 3.8616 3.8616
3.8616 0.0000 3.8616
3.8616 3.8616 0.0000
0.0000 0.0000 3.8616
0.0000 3.8616 0.0000
3.8616 0.0000 0.0000
3.8616 3.8616 3.8616
1.9308 1.9308 1.9308
1.9308 5.7925 5.7925
5.7925 1.9308 5.7925
5.7925 5.7925 1.9308
1.9308 1.9308 5.7925
1.9308 5.7925 1.9308
5.7925 1.9308 1.9308
5.7925 5.7925 5.7925
```



Material: Ca2PrIn2Hg2
Method: DFT, PBE
State: optimized geometry

## Properties
Formation energy from the elements: -0.3973 eV per atom
DOS(E_F): 2.9 states/eV/cell
Space-group type: R-3m, No. 166

```
Ca2PrIn2Hg2
1.0
2.4928 1.4392 9.5230
-2.4928 1.4392 9.5230
0.0000 -2.8785 9.5230
Ca Pr In Hg
2 1 2 2
Cartesian
0.0000 0.0000 3.6478
0.0000 0.0000 24.9212
0.0000 0.0000 0.0000
0.0000 0.0000 7.3230
0.0000 0.0000 21.2460
0.0000 0.0000 11.2091
0.0000 0.0000 17.3599
```



Material: CaIn2HgPt
Method: DFT, PBE
State: optimized geometry

## Properties
Formation energy from the elements: -0.4137 eV per atom
DOS(E_F): 1.4 states/eV/cell
Space-group type: P4/mmm, No. 123

```
CaIn2HgPt
1.0
5.1718 0.0000 0.0000
0.0000 5.1718 0.0000
0.0000 0.0000 5.5918
Ca In Hg Pt
1 2 1 1
Cartesian
0.0000 0.0000 0.0000
0.0000 2.5859 2.7959
2.5859 0.0000 2.7959
2.5859 2.5859 0.0000
0.0000 0.0000 2.7959
```



Material: Ca2InHgPt
Method: DFT, PBE
State: optimized geometry

## Properties
Formation energy from the elements: -0.5199 eV per atom
DOS(E_F): 2.8 states/eV/cell
Space-group type: P4/mmm, No. 123

```
Ca2InHgPt
1.0
5.5267 0.0000 0.0000
0.0000 5.5267 0.0000
0.0000 0.0000 5.1486
Ca In Hg Pt
2 1 1 1
Cartesian
0.0000 2.7634 0.0000
2.7634 0.0000 0.0000
0.0000 0.0000 2.5743
2.7634 2.7634 2.5743
0.0000 0.0000 0.0000
```



Material: CaInHgPt2
Method: DFT, PBE
State: optimized geometry

## Properties
Formation energy from the elements: 0.1121 eV per atom
DOS(E_F): 2.5 states/eV/cell
Space-group type: P4/mmm, No. 123

```
CaInHgPt2
1.0
5.0889 0.0000 0.0000
0.0000 5.0889 0.0000
0.0000 0.0000 5.2392
Ca In Hg Pt
1 1 1 2
Cartesian
0.0000 0.0000 0.0000
2.5444 2.5444 2.6196
2.5444 2.5444 0.0000
0.0000 2.5444 2.6196
2.5444 0.0000 2.6196
```



Material: CaPuInHg
Method: DFT, PBE
State: optimized geometry

## Properties
Formation energy from the elements: -0.2988 eV per atom
DOS(E_F): 9.5 states/eV/cell
Space-group type: P4mm, No. 99
Excess energy over the best structure of this formula in the dataset: 0.0 meV per atom

```
CaPuInHg
1.0
3.7213 0.0000 0.0000
0.0000 3.7213 0.0000
0.0000 0.0000 7.9098
Ca Pu In Hg
1 1 1 1
Cartesian
0.0000 0.0000 0.0000
0.0000 0.0000 3.8655
1.8607 1.8607 5.8775
1.8607 1.8607 1.8808
```



Material: CaPuInHg
Method: DFT, PBE
State: optimized geometry

## Properties
Formation energy from the elements: -0.2773 eV per atom
DOS(E_F): 46.2 states/eV/cell
Space-group type: F-43m, No. 216
Excess energy over the best structure of this formula in the dataset: 21.5 meV per atom

```
CaPuInHg
1.0
7.6252 0.0000 0.0000
0.0000 7.6252 0.0000
0.0000 0.0000 7.6252
Ca Pu In Hg
4 4 4 4
Cartesian
0.0000 0.0000 0.0000
0.0000 3.8126 3.8126
3.8126 0.0000 3.8126
3.8126 3.8126 0.0000
0.0000 0.0000 3.8126
0.0000 3.8126 0.0000
3.8126 0.0000 0.0000
3.8126 3.8126 3.8126
1.9063 1.9063 1.9063
1.9063 5.7189 5.7189
5.7189 1.9063 5.7189
5.7189 5.7189 1.9063
1.9063 1.9063 5.7189
1.9063 5.7189 1.9063
5.7189 1.9063 1.9063
5.7189 5.7189 5.7189
```



Material: CaIn2HgRh
Method: DFT, PBE
State: optimized geometry

## Properties
Formation energy from the elements: -0.3105 eV per atom
DOS(E_F): 2.5 states/eV/cell
Space-group type: P4/mmm, No. 123

```
CaIn2HgRh
1.0
5.1552 0.0000 0.0000
0.0000 5.1552 0.0000
0.0000 0.0000 5.4182
Ca In Hg Rh
1 2 1 1
Cartesian
0.0000 0.0000 0.0000
0.0000 2.5776 2.7091
2.5776 0.0000 2.7091
2.5776 2.5776 0.0000
0.0000 0.0000 2.7091
```



Material: Ca2InHgRh
Method: DFT, PBE
State: optimized geometry

## Properties
Formation energy from the elements: -0.3527 eV per atom
DOS(E_F): 2.0 states/eV/cell
Space-group type: P4/mmm, No. 123

```
Ca2InHgRh
1.0
5.4260 0.0000 0.0000
0.0000 5.4260 0.0000
0.0000 0.0000 5.1367
Ca In Hg Rh
2 1 1 1
Cartesian
0.0000 2.7130 0.0000
2.7130 0.0000 0.0000
0.0000 0.0000 2.5683
2.7130 2.7130 2.5683
0.0000 0.0000 0.0000
```



In order of appearance, magnetic moment = 0.00, 0.00, 0.00, 0.00, 0.00, 0.00, 0.00, 0.00, 0.00, 0.00, 0.00, 4.83, 0.00, 0.00, 0.00, 0.00, 0.00, 0.00, 0.00, 0.00, 0.00, 0.00, 5.62, 22.41, 0.00, 0.00 μB/cell.